No. 1
The following is a PBE-GGA calculation of an optimized crystal structure of VRe3P, from Alexandria.

```
VRe3P
1.0
4.499 0.000 0.000
0.000 4.499 0.000
0.000 0.000 4.499
Re V P
3 1 1
direct
0.000 0.500 0.000
0.000 0.000 0.500
0.500 0.000 0.000
0.000 0.000 0.000
0.500 0.500 0.500
```

Properties
* space group: Pm-3m (221)

No. 2
The following is a PBE-GGA calculation of an optimized crystal structure of VRe2P, from Alexandria.

```
VRe2P
1.0
-1.883 3.251 -0.113
-2.547 -1.392 2.388
2.463 3.872 7.843
Re V P
4 2 2
direct
0.593 0.125 0.250
0.157 0.625 0.250
0.375 0.407 0.750
0.875 0.843 0.750
0.000 0.000 0.000
0.750 0.250 0.500
0.500 0.500 0.000
0.250 0.750 0.500
```

Properties
* space group: I-42d (122)

Number 1: DFT formation energy 1.98 eV/atom, M_tot 0.0 Bohr magnetons per cell, VASP energy -8.392 eV per atom. Number 2: DFT formation energy 0.38 eV/atom, M_tot 0.0 Bohr magnetons per cell, VASP energy -9.481 eV per atom.